Below is a relaxed MgTi2Tl crystal, with properties calculated at the PBE level.

Values from the calculation:
energy of formation	491.2	meV/atom
crystal system	tetragonal
ρ	6.4	Mg/m³

Cell lengths 7.752, 7.752, 5.567 Å; angles 90.00, 90.00, 90.00 degrees
Space group I-42d (No. 122)
Inequivalent atoms, fractional coordinates:
Mg  0.000  0.000  0.000 x4
Ti  0.243  0.250  0.625 x8
Tl  0.000  0.000  0.500 x4